LuNiAu2 | GGA-PBE | optimized geometry

The structure in POSCAR format:
```
LuNiAu2
1.0
0.000 3.293 3.293
3.293 0.000 3.293
3.293 3.293 0.000
Lu Ni Au
1 1 2
Direct
0.000 0.000 0.000 Lu
0.250 0.250 0.250 Ni
0.500 0.500 0.500 Au
0.750 0.750 0.750 Au
```

Summary:
Uncorrected energy   -18.55 eV for the cell shown